1.
Material: Ba3ZrP
Method: DFT, PBE
State: optimized geometry

Values from the calculation:
**V**: 242.4 Å³/f.u.
**Space-group type**: Pm-3m
**Polymorph energy (0 for the lowest one)**: 0 meV/atom
**Theoretical density**: 3.66 g/cm3
**Density of states at the Fermi level**: 1.824 states/eV/atom
**Formation enthalpy at 0 K**: 161 meV/atom

CIF file:
```
data_Ba3ZrP
_chemical_formula_sum 'Ba3 Zr1 P1'
_cell_length_a 6.2351
_cell_length_b 6.2351
_cell_length_c 6.2351
_cell_angle_alpha 90.00
_cell_angle_beta 90.00
_cell_angle_gamma 90.00
_space_group_name_H-M_alt 'P 1'
_space_group_IT_number 1
loop_
_space_group_symop_operation_xyz
'x,y,z'
loop_
_atom_site_label
_atom_site_type_symbol
_atom_site_fract_x
_atom_site_fract_y
_atom_site_fract_z
_atom_site_occupancy
Ba1 Ba 0.0000 0.5000 0.0000 1
P1 P 0.0000 0.0000 0.0000 1
Zr1 Zr 0.5000 0.5000 0.5000 1
Ba2 Ba 0.5000 0.0000 0.0000 1
Ba3 Ba 0.0000 0.0000 0.5000 1
```

***

2.
Material: BaZr2P
Method: DFT, PBE
State: optimized geometry

Values from the calculation:
**V**: 99.5 Å³/f.u.
**Space-group type**: C2/m
**Theoretical density**: 5.85 g/cm3
**Density of states at the Fermi level**: 1.426 states/eV/atom
**Formation enthalpy at 0 K**: 244 meV/atom

CIF file:
```
data_BaZr2P
_chemical_formula_sum 'Ba1 Zr2 P1'
_cell_length_a 6.0827
_cell_length_b 6.0827
_cell_length_c 3.7227
_cell_angle_alpha 72.25
_cell_angle_beta 72.25
_cell_angle_gamma 117.09
_space_group_name_H-M_alt 'P 1'
_space_group_IT_number 1
loop_
_space_group_symop_operation_xyz
'x,y,z'
loop_
_atom_site_label
_atom_site_type_symbol
_atom_site_fract_x
_atom_site_fract_y
_atom_site_fract_z
_atom_site_occupancy
P1 P 0.0000 0.0000 0.0000 1
Zr1 Zr 0.5000 0.0000 0.0000 1
Zr2 Zr 0.0000 0.5000 0.0000 1
Ba1 Ba 0.5000 0.5000 0.0000 1
```

***

3.
Material: Ba3ZrP3
Method: DFT, PBE
State: optimized geometry

Values from the calculation:
**V**: 230.7 Å³/f.u.
**Space-group type**: Cmce
**Theoretical density**: 4.29 g/cm3
**Density of states at the Fermi level**: 0.381 states/eV/atom
**Formation enthalpy at 0 K**: -1034 meV/atom

CIF file:
```
data_Ba3ZrP3
_chemical_formula_sum 'Ba12 Zr4 P12'
_cell_length_a 7.1730
_cell_length_b 10.4376
_cell_length_c 13.1222
_cell_angle_alpha 90.00
_cell_angle_beta 90.00
_cell_angle_gamma 110.10
_space_group_name_H-M_alt 'P 1'
_space_group_IT_number 1
loop_
_space_group_symop_operation_xyz
'x,y,z'
loop_
_atom_site_label
_atom_site_type_symbol
_atom_site_fract_x
_atom_site_fract_y
_atom_site_fract_z
_atom_site_occupancy
Zr1 Zr 0.9140 0.8279 0.0000 1
Ba1 Ba 0.3535 0.0000 0.1601 1
Ba2 Ba 0.8535 0.0000 0.3399 1
P1 P 0.1390 0.6848 0.6183 1
P2 P 0.9542 0.3152 0.8817 1
P3 P 0.8610 0.3152 0.3817 1
P4 P 0.0458 0.6848 0.1183 1
Ba3 Ba 0.5138 0.3543 0.8650 1
Ba4 Ba 0.1465 0.0000 0.6601 1
P5 P 0.3610 0.3152 0.1183 1
Ba5 Ba 0.9862 0.6457 0.3650 1
Ba6 Ba 0.4862 0.6457 0.1350 1
Ba7 Ba 0.1595 0.6457 0.8650 1
P6 P 0.4542 0.3152 0.6183 1
P7 P 0.5458 0.6848 0.3817 1
Zr2 Zr 0.4140 0.8279 0.5000 1
Ba8 Ba 0.0138 0.3543 0.6350 1
Zr3 Zr 0.0860 0.1721 0.0000 1
Ba9 Ba 0.6595 0.6457 0.6350 1
Ba10 Ba 0.6465 0.0000 0.8399 1
P8 P 0.6390 0.6848 0.8817 1
P9 P 0.2113 0.0000 0.9046 1
P10 P 0.7887 0.0000 0.0954 1
Ba11 Ba 0.3405 0.3543 0.3650 1
Ba12 Ba 0.8405 0.3543 0.1350 1
P11 P 0.2887 0.0000 0.4046 1
P12 P 0.7113 0.0000 0.5954 1
Zr4 Zr 0.5860 0.1721 0.5000 1
```